Record 1
VASP calculation (PBE-GGA) on a relaxed structure of SmCu4Ag4.

Calculated values
ΔE_f in eV/atom: 0.112

abc: 4.661 8.309 8.309
angles: 90.00 90.00 90.00
Fractional coordinates of all 18 atoms:
1 Cu 0.501 0.106 0.803
2 Cu 0.499 0.803 0.894
3 Cu 0.999 0.606 0.303
4 Cu 0.499 0.197 0.106
5 Cu 0.001 0.697 0.606
6 Cu 0.001 0.303 0.394
7 Cu 0.501 0.894 0.197
8 Cu 0.999 0.394 0.697
9 Ag 0.998 0.361 0.088
10 Ag 0.498 0.412 0.861
11 Ag 0.502 0.139 0.412
12 Ag 0.998 0.639 0.912
13 Ag 0.502 0.861 0.588
14 Ag 0.002 0.912 0.361
15 Ag 0.498 0.588 0.139
16 Ag 0.002 0.088 0.639
17 Sm 0.000 0.000 0.000
18 Sm 0.500 0.500 0.500



Record 2
VASP calculation (PBE-GGA) on a relaxed structure of SmCu8Ag3.

Calculated values
ΔE_f in eV/atom: -0.050

abc: 5.024 5.024 8.203
angles: 90.00 90.00 120.00
Fractional coordinates of all 12 atoms:
1 Ag 0.667 0.333 0.420
2 Ag 0.667 0.333 0.059
3 Ag 0.000 0.000 0.950
4 Cu 0.166 0.333 0.245
5 Cu 0.502 0.498 0.759
6 Cu 0.667 0.834 0.245
7 Cu 0.996 0.498 0.759
8 Cu 0.502 0.004 0.759
9 Cu 0.333 0.667 0.499
10 Cu 0.333 0.667 0.998
11 Cu 0.166 0.834 0.245
12 Sm 0.000 0.000 0.564



Record 3
VASP calculation (PBE-GGA) on a relaxed structure of Sm3Cu4Ag2.

Calculated values
ΔE_f in eV/atom: -0.218

abc: 4.462 5.764 8.484
angles: 110.51 90.00 112.77
Fractional coordinates of all 9 atoms:
1 Cu 0.933 0.866 0.592
2 Cu 0.067 0.134 0.408
3 Cu 0.269 0.538 0.948
4 Cu 0.731 0.462 0.052
5 Ag 0.633 0.266 0.294
6 Ag 0.367 0.734 0.706
7 Sm 0.653 0.307 0.680
8 Sm 0.347 0.693 0.320
9 Sm 0.000 0.000 0.000



Record 4
VASP calculation (PBE-GGA) on a relaxed structure of Sm2Cu2Ag.

Calculated values
ΔE_f in eV/atom: -0.234
Energy relative to the lowest polymorph listed for this composition in eV/atom: 0.017

abc: 3.818 7.553 7.553
angles: 90.00 90.00 90.00
Fractional coordinates of all 10 atoms:
1 Cu 0.000 0.882 0.618
2 Cu 0.000 0.382 0.882
3 Cu 0.000 0.118 0.382
4 Cu 0.000 0.618 0.118
5 Sm 0.500 0.178 0.678
6 Sm 0.500 0.322 0.178
7 Sm 0.500 0.822 0.322
8 Sm 0.500 0.678 0.822
9 Ag 0.000 0.500 0.500
10 Ag 0.000 0.000 0.000



Record 5
VASP calculation (PBE-GGA) on a relaxed structure of Sm4Cu3Ag.

Calculated values
ΔE_f in eV/atom: -0.205

abc: 3.884 4.643 10.585
angles: 90.00 90.00 90.00
Fractional coordinates of all 8 atoms:
1 Sm 0.500 0.000 0.640
2 Sm 0.000 0.000 0.145
3 Sm 0.000 0.500 0.850
4 Sm 0.500 0.500 0.367
5 Ag 0.500 0.500 0.072
6 Cu 0.500 0.000 0.925
7 Cu 0.000 0.000 0.433
8 Cu 0.000 0.500 0.569



Record 6
VASP calculation (PBE-GGA) on a relaxed structure of Sm6CuAg2.

Calculated values
ΔE_f in eV/atom: -0.053

abc: 7.026 7.360 10.326
angles: 90.00 82.66 90.00
Fractional coordinates of all 18 atoms:
1 Sm 0.804 0.672 0.548
2 Sm 0.154 0.020 0.748
3 Sm 0.196 0.328 0.452
4 Sm 0.696 0.172 0.952
5 Sm 0.139 0.317 0.066
6 Sm 0.639 0.183 0.566
7 Sm 0.346 0.520 0.752
8 Sm 0.846 0.980 0.252
9 Sm 0.304 0.828 0.048
10 Sm 0.654 0.480 0.248
11 Sm 0.861 0.683 0.934
12 Sm 0.361 0.817 0.434
13 Ag 0.567 0.882 0.766
14 Ag 0.433 0.118 0.234
15 Ag 0.067 0.618 0.266
16 Ag 0.933 0.382 0.734
17 Cu 0.000 0.000 0.500
18 Cu 0.500 0.500 0.000



Record 7
VASP calculation (PBE-GGA) on a relaxed structure of Sm2CuAg3.

Calculated values
ΔE_f in eV/atom: -0.235

abc: 3.578 4.695 8.048
angles: 90.00 90.00 90.00
Fractional coordinates of all 6 atoms:
1 Ag 0.500 0.000 0.177
2 Ag 0.500 0.000 0.834
3 Ag 0.500 0.500 0.656
4 Cu 0.500 0.500 0.328
5 Sm 0.000 0.000 0.491
6 Sm 0.000 0.500 0.013



Record 8
VASP calculation (PBE-GGA) on a relaxed structure of Sm8CuAg2.

Calculated values
ΔE_f in eV/atom: -0.088

abc: 5.272 6.955 9.405
angles: 105.49 106.28 90.00
Fractional coordinates of all 11 atoms:
1 Sm 0.338 0.023 0.676
2 Sm 0.410 0.549 0.820
3 Sm 0.801 0.682 0.601
4 Sm 0.199 0.318 0.399
5 Sm 0.974 0.219 0.949
6 Sm 0.026 0.781 0.051
7 Sm 0.590 0.451 0.180
8 Sm 0.662 0.977 0.324
9 Cu 0.500 0.000 0.000
10 Ag 0.816 0.270 0.633
11 Ag 0.184 0.730 0.367



For each record above, in turn, the calculated E_tot values are -3.500; -3.887; -4.246; -4.330; -4.458; -4.288; -3.917; -4.411 eV/atom.